Here is PrVCoP2 after structural relaxation from the Alexandria database. Energies are from PBE-GGA.

Calculated values
Calculated total energy = -7.28 eV/atom
ΔE_f = -0.919 eV per atom
Spin magnetization = 1.3 μB per cell
V = 16.61 A^3/atom

abc: 3.896 3.896 6.124
angles: 108.55 108.55 90.00
Last column: magnetic moment on the atom in μB.
Atoms (fractional coordinates):
V 0.750 0.250 0.500  0.96
Pr 0.000 0.000 0.000  0.05
Co 0.250 0.750 0.500  0.15
P 0.362 0.362 0.723  -0.04
P 0.638 0.638 0.277  -0.04